No. 1
# NaTlI2O | the Alexandria database | PBE | optimized geometry
data_NaTlI2O
_chemical_formula_sum 'Na1 Tl1 I2 O1'
_cell_length_a 6.1894
_cell_length_b 6.1894
_cell_length_c 4.4821
_cell_angle_alpha 90.00
_cell_angle_beta 90.00
_cell_angle_gamma 90.00
_symmetry_space_group_name_H-M 'P 4/m m m'
_symmetry_Int_Tables_number 123
_symmetry_space_group_name_Hall '-P 4 2'
loop_
_atom_site_label
_atom_site_type_symbol
_atom_site_fract_x
_atom_site_fract_y
_atom_site_fract_z
Na1 Na 0.0000 0.0000 0.0000
Tl1 Tl 0.5000 0.5000 0.5000
I1 I 0.0000 0.5000 0.0000
O1 O 0.0000 0.0000 0.5000
# Polymorph energy (0 for the lowest one): 225 meV per atom
# Total moment: 0.410 μB per atom

---

No. 2
# NaTlIO2 | the Alexandria database | PBE | optimized geometry
data_NaTlIO2
_chemical_formula_sum 'Na1 Tl1 I1 O2'
_cell_length_a 4.8227
_cell_length_b 4.8227
_cell_length_c 6.2206
_cell_angle_alpha 90.00
_cell_angle_beta 90.00
_cell_angle_gamma 90.00
_symmetry_space_group_name_H-M 'P 4/m m m'
_symmetry_Int_Tables_number 123
_symmetry_space_group_name_Hall '-P 4 2'
loop_
_atom_site_label
_atom_site_type_symbol
_atom_site_fract_x
_atom_site_fract_y
_atom_site_fract_z
Na1 Na 0.0000 0.0000 0.0000
Tl1 Tl 0.5000 0.5000 0.5000
I1 I 0.0000 0.0000 0.5000
O1 O 0.0000 0.5000 0.0000
# Polymorph energy (0 for the lowest one): 382 meV per atom
# Total moment: 0.593 μB per atom

---

no.,formation energy (no corrections) (meV per atom)
1,-280
2,60